# 1
# LaSmErAg, optimized geometry, DFT PBE
data_LaSmErAg
_chemical_formula_sum 'La4 Sm4 Er4 Ag4'
_cell_length_a 7.773
_cell_length_b 7.773
_cell_length_c 7.773
_cell_angle_alpha 90.00
_cell_angle_beta 90.00
_cell_angle_gamma 90.00
_space_group_name_H-M_alt 'F -4 3 m'
_space_group_IT_number 216
_space_group_name_Hall 'F -4 2 3'
loop_
_atom_site_label
_atom_site_fract_x
_atom_site_fract_y
_atom_site_fract_z
La1 0.000 0.000 0.000
Sm1 0.000 0.000 0.500
Er1 0.250 0.250 0.250
Ag1 0.250 0.250 0.750
# Final energy = -0.1549 Ha/atom
# Volume = 470 Å³ per cell
# Total magnetic moment = 0.0 μB per formula unit

---

# 2
# LaSmErAg, optimized geometry, DFT PBE
data_LaSmErAg
_chemical_formula_sum 'La1 Sm1 Er1 Ag1'
_cell_length_a 3.675
_cell_length_b 3.675
_cell_length_c 8.750
_cell_angle_alpha 90.00
_cell_angle_beta 90.00
_cell_angle_gamma 90.00
_space_group_name_H-M_alt 'P 4 m m'
_space_group_IT_number 99
loop_
_space_group_symop_operation_xyz
'x,y,z'
'-y,x,z'
'-x,-y,z'
'y,-x,z'
'-x,y,z'
'y,x,z'
'x,-y,z'
'-y,-x,z'
loop_
_atom_site_label
_atom_site_fract_x
_atom_site_fract_y
_atom_site_fract_z
La1 0.000 0.000 0.000
Sm1 0.500 0.500 0.703
Er1 0.500 0.500 0.292
Ag1 0.000 0.000 0.483
# Final energy = -0.1612 Ha/atom
# Volume = 118 Å³ per cell
# Total magnetic moment = 0.0 μB per formula unit

---

# 3
# LaErAgSn, optimized geometry, DFT PBE
data_LaErAgSn
_chemical_formula_sum 'La4 Er4 Ag4 Sn4'
_cell_length_a 7.581
_cell_length_b 7.581
_cell_length_c 7.581
_cell_angle_alpha 90.00
_cell_angle_beta 90.00
_cell_angle_gamma 90.00
_space_group_name_H-M_alt 'F -4 3 m'
_space_group_IT_number 216
_space_group_name_Hall 'F -4 2 3'
loop_
_atom_site_label
_atom_site_fract_x
_atom_site_fract_y
_atom_site_fract_z
La1 0.000 0.000 0.000
Er1 0.000 0.000 0.500
Ag1 0.250 0.250 0.250
Sn1 0.250 0.250 0.750
# Final energy = -0.1688 Ha/atom
# Volume = 436 Å³ per cell
# Total magnetic moment = 0.0 μB per formula unit

---

Computed DFT formation energy, in the same sequence as the records: 50, -122, -506 meV/atom.